(1)
Computed, not measured: Pr2Au5F21 after structural relaxation at the GGA-PBE level of DFT.

Lattice parameters (Å, degrees): 8.4692 8.4692 26.3933 90.00 90.00 90.00
With the nearest neighbours (Å) after each atom.
Positions (direct):
Pr  0.5511  0.9281  0.9982  9 F 2.30-2.57
Pr  0.4489  0.0719  0.4982  9 F 2.30-2.57
Pr  0.9281  0.5511  0.0018  9 F 2.30-2.57
Pr  0.4281  0.9489  0.7482  9 F 2.30-2.57
Pr  0.5719  0.0511  0.2482  9 F 2.30-2.57
Pr  0.9489  0.4281  0.2518  9 F 2.30-2.57
Pr  0.0511  0.5719  0.7518  9 F 2.30-2.57
Pr  0.0719  0.4489  0.5018  9 F 2.30-2.57
Au  0.4020  0.3560  0.8443  4 F 1.93-1.99
Au  0.5980  0.6440  0.3443  4 F 1.93-1.99
Au  0.3560  0.4020  0.1557  4 F 1.93-1.99
Au  0.8560  0.0980  0.5943  4 F 1.93-1.99
Au  0.1440  0.9020  0.0943  4 F 1.93-1.99
Au  0.0980  0.8560  0.4057  4 F 1.93-1.99
Au  0.9020  0.1440  0.9057  4 F 1.93-1.99
Au  0.6440  0.5980  0.6557  4 F 1.93-1.99
Au  0.2048  0.8218  0.8892  4 F 1.96-1.97
Au  0.7952  0.1782  0.3892  4 F 1.96-1.97
Au  0.8218  0.2048  0.1108  4 F 1.96-1.97
Au  0.3218  0.2952  0.6392  4 F 1.96-1.97
Au  0.6782  0.7048  0.1392  4 F 1.96-1.97
Au  0.2952  0.3218  0.3608  4 F 1.96-1.97
Au  0.7048  0.6782  0.8608  4 F 1.96-1.97
Au  0.1782  0.7952  0.6108  4 F 1.96-1.97
Au  0.5650  0.5650  0.5000  4 F 1.96-1.97
Au  0.9350  0.0650  0.7500  4 F 1.96-1.97
Au  0.0650  0.9350  0.2500  4 F 1.96-1.97
Au  0.4350  0.4350  0.0000  4 F 1.96-1.97
F  0.5901  0.7821  0.8050  1 Au 1.97
F  0.4099  0.2179  0.3050  1 Au 1.97
F  0.7821  0.5901  0.1950  1 Au 1.97
F  0.2821  0.9099  0.5550  1 Au 1.97
F  0.7179  0.0901  0.0550  1 Au 1.97
F  0.9099  0.2821  0.4450  1 Au 1.97
F  0.0901  0.7179  0.9450  1 Au 1.97
F  0.2179  0.4099  0.6950  1 Au 1.97
F  0.0407  0.6898  0.4548  1 Au 1.97
F  0.9593  0.3102  0.9548  1 Au 1.97
F  0.6898  0.0407  0.5452  1 Au 1.97
F  0.1898  0.4593  0.2048  1 Au 1.97
F  0.8102  0.5407  0.7048  1 Au 1.97
F  0.4593  0.1898  0.7952  1 Au 1.97
F  0.5407  0.8102  0.2952  1 Au 1.97
F  0.3102  0.9593  0.0452  1 Au 1.97
F  0.9171  0.8019  0.3646  1 Au 1.93
F  0.0829  0.1981  0.8646  1 Au 1.93
F  0.8019  0.9171  0.6354  1 Au 1.93
F  0.3019  0.5829  0.1146  1 Au 1.93
F  0.6981  0.4171  0.6146  1 Au 1.93
F  0.5829  0.3019  0.8854  1 Au 1.93
F  0.4171  0.6981  0.3854  1 Au 1.93
F  0.1981  0.0829  0.1354  1 Au 1.93
F  0.9351  0.2965  0.7517  1 Au 1.96
F  0.0649  0.7035  0.2517  1 Au 1.96
F  0.2965  0.9351  0.2483  1 Au 1.96
F  0.2035  0.4351  0.0017  1 Au 1.96
F  0.7965  0.5649  0.5017  1 Au 1.96
F  0.0657  0.6821  0.6646  1 Au 1.96
F  0.9343  0.3179  0.1646  1 Au 1.96
F  0.6821  0.0657  0.3354  1 Au 1.96
F  0.3179  0.9343  0.8354  1 Au 1.96
F  0.8179  0.5657  0.9146  1 Au 1.96
F  0.4343  0.1821  0.5854  1 Au 1.96
F  0.5657  0.8179  0.0854  1 Au 1.96
F  0.9178  0.2993  0.3392  1 Au 1.97
F  0.2007  0.4178  0.5892  1 Au 1.97
F  0.7993  0.5822  0.0892  1 Au 1.97
F  0.4178  0.2007  0.4108  1 Au 1.97
F  0.5822  0.7993  0.9108  1 Au 1.97
F  0.0822  0.7007  0.8392  1 Au 1.97
F  0.2993  0.9178  0.6608  1 Au 1.97
F  0.7007  0.0822  0.1608  1 Au 1.97
F  0.4491  0.1797  0.6896  1 Au 1.97
F  0.3203  0.9491  0.9396  1 Au 1.97
F  0.6797  0.0509  0.4396  1 Au 1.97
F  0.9491  0.3203  0.0604  1 Au 1.97
F  0.0509  0.6797  0.5604  1 Au 1.97
F  0.5509  0.8203  0.1896  1 Au 1.97
F  0.1797  0.4491  0.3104  1 Au 1.97
F  0.8203  0.5509  0.8104  1 Au 1.97
F  0.3324  0.5685  0.5004  1 Au 1.97
F  0.9315  0.8324  0.7504  1 Au 1.97
F  0.0685  0.1676  0.2504  1 Au 1.97
F  0.8324  0.9315  0.2496  1 Au 1.97
F  0.1676  0.0685  0.7496  1 Au 1.97
F  0.6676  0.4315  0.0004  1 Au 1.97
F  0.5685  0.3324  0.4996  1 Au 1.97
F  0.4315  0.6676  0.9996  1 Au 1.97
F  0.9147  0.2812  0.5513  1 Au 1.99
F  0.2188  0.4147  0.8013  1 Au 1.99
F  0.7812  0.5853  0.3013  1 Au 1.99
F  0.4147  0.2188  0.1987  1 Au 1.99
F  0.5853  0.7812  0.6987  1 Au 1.99
F  0.0853  0.7188  0.0513  1 Au 1.99
F  0.2812  0.9147  0.4487  1 Au 1.99
F  0.7188  0.0853  0.9487  1 Au 1.99
F  0.7758  0.7758  0.0000  2 Pr 2.30
F  0.7242  0.2758  0.2500  2 Pr 2.30
F  0.2758  0.7242  0.7500  2 Pr 2.30
F  0.2242  0.2242  0.5000  2 Pr 2.30
F  0.5226  0.3536  0.1074  1 Au 1.95
F  0.1464  0.0226  0.3574  1 Au 1.95
F  0.8536  0.9774  0.8574  1 Au 1.95
F  0.0226  0.1464  0.6426  1 Au 1.95
F  0.9774  0.8536  0.1426  1 Au 1.95
F  0.4774  0.6464  0.6074  1 Au 1.95
F  0.3536  0.5226  0.8926  1 Au 1.95
F  0.6464  0.4774  0.3926  1 Au 1.95
F  0.7035  0.0649  0.7483  1 Au 1.96
F  0.4351  0.2035  0.9983  1 Au 1.96
F  0.5649  0.7965  0.4983  1 Au 1.96
F  0.1821  0.4343  0.4146  1 Au 1.96

=====

(2)
Computed, not measured: Pr4Au2F after structural relaxation at the GGA-PBE level of DFT.

Lattice parameters (Å, degrees): 4.9774 4.9774 8.4872 72.95 72.95 90.00
With the nearest neighbours (Å) after each atom.
Positions (direct):
Pr  0.8088  0.8088  0.3825  1 Au 2.85, 1 F 2.95
Pr  0.1912  0.1912  0.6175  1 Au 2.85, 1 F 2.95
Pr  0.0000  0.5000  0.0000  2 F 2.49
Pr  0.5000  0.0000  0.0000  2 F 2.49
Au  0.6240  0.6240  0.7521  5 Pr 2.85-3.14
Au  0.3760  0.3760  0.2479  5 Pr 2.85-3.14
F  0.0000  0.0000  0.0000  4 Pr 2.49

=====

(3)
Computed, not measured: PtAuF6 after structural relaxation at the GGA-PBE level of DFT.

Lattice parameters (Å, degrees): 5.7563 5.7563 8.7818 96.58 96.58 65.04
With the nearest neighbours (Å) after each atom.
Positions (direct):
Pt  0.0000  0.5000  0.5000  6 F 1.96-1.98
Pt  0.5000  0.0000  0.0000  6 F 1.96-1.98
Au  0.0144  0.9856  0.2500  4 F 2.20-2.39
Au  0.9856  0.0144  0.7500  4 F 2.20-2.39
F  0.2113  0.6125  0.3932  1 Pt 1.96
F  0.7887  0.3875  0.6068  1 Pt 1.96
F  0.3875  0.7887  0.1068  1 Pt 1.96
F  0.6125  0.2113  0.8932  1 Pt 1.96
F  0.8189  0.4671  0.3016  1 Pt 1.96
F  0.1811  0.5329  0.6984  1 Pt 1.96
F  0.5329  0.1811  0.1984  1 Pt 1.96
F  0.4671  0.8189  0.8016  1 Pt 1.96
F  0.1296  0.2026  0.9463  1 Pt 1.98, 1 Au 2.20
F  0.8704  0.7974  0.0537  1 Pt 1.98, 1 Au 2.20
F  0.7974  0.8704  0.5537  1 Pt 1.98, 1 Au 2.20
F  0.2026  0.1296  0.4463  1 Pt 1.98, 1 Au 2.20

=====

no.,raw formation energy (eV per atom),total DFT energy (no corrections) (eV per atom)
1,-1.9106,-4.2407
2,-1.0822,-5.0170
3,-1.0801,-3.6484